1.
Sn6HgI12 (GGA-PBE, optimized geometry); space-group type = No. 148
1.0
-7.158 0.619 -7.019
-2.777 -6.871 6.780
0.725 8.900 4.600
Sn Hg I
6 1 12
Direct
0.192 0.261 0.590
0.739 0.410 0.808
0.410 0.808 0.739
0.808 0.739 0.410
0.261 0.590 0.192
0.590 0.192 0.261
0.000 0.000 0.000
0.401 0.151 0.460
0.151 0.460 0.401
0.460 0.401 0.151
0.599 0.849 0.540
0.849 0.540 0.599
0.540 0.599 0.849
0.155 0.968 0.671
0.329 0.845 0.032
0.032 0.329 0.845
0.845 0.032 0.329
0.671 0.155 0.968
0.968 0.671 0.155

2.
Cs2NdAlS4 (GGA-PBE, optimized geometry); space-group type = No. 70
1.0
6.409 0.000 0.000
3.205 7.352 0.000
3.205 0.000 13.168
Cs Nd Al S
4 2 2 8
Direct
0.180 0.000 0.639
0.820 0.000 0.361
0.570 0.500 0.861
0.930 0.500 0.139
0.750 0.500 0.500
0.000 0.000 0.000
0.250 0.500 0.500
0.500 0.000 0.000
0.339 0.813 0.098
0.249 0.187 0.902
0.848 0.813 0.902
0.563 0.187 0.098
0.411 0.687 0.402
0.501 0.313 0.598
0.902 0.687 0.598
0.187 0.313 0.402

Number 1: E_form (uncorrected) -406 meV/atom. Number 2: E_form (uncorrected) -1388 meV/atom.